1.
The following is a PBE calculation of a relaxed structure of PmScInHg, from Alexandria via LeMat-Bulk.

```
PmScInHg
1.0
7.409 0.000 0.000
0.000 7.409 0.000
0.000 0.000 7.409
Pm Sc In Hg
4 4 4 4
Direct
0.000 0.000 0.000
0.000 0.500 0.500
0.500 0.000 0.500
0.500 0.500 0.000
0.000 0.000 0.500
0.000 0.500 0.000
0.500 0.000 0.000
0.500 0.500 0.500
0.250 0.250 0.750
0.250 0.750 0.250
0.750 0.250 0.250
0.750 0.750 0.750
0.250 0.250 0.250
0.250 0.750 0.750
0.750 0.250 0.750
0.750 0.750 0.250
```

The uncorrected energy is -63.354 eV per cell. The density of states at the Fermi level is 17.284 states/eV/cell. The formation energy comes out at -0.4290 eV/atom. The volume comes out at 25.42 A^3/atom.

2.
The following is a PBE calculation of a relaxed structure of Tb2DyErTe6, from Alexandria via LeMat-Bulk.

```
Tb2DyErTe6
1.0
3.846 2.220 7.024
-3.846 2.220 7.024
0.000 -4.441 7.024
Tb Dy Er Te
2 1 1 6
Direct
0.000 0.000 0.000
0.500 0.500 0.500
0.314 0.314 0.314
0.814 0.814 0.814
0.089 0.411 0.718
0.217 0.909 0.591
0.411 0.718 0.089
0.591 0.217 0.909
0.718 0.089 0.411
0.909 0.591 0.217
```

The uncorrected energy is -50.885 eV per cell. The volume comes out at 35.99 A^3/atom. The formation energy without anion corrections comes out at -1361.0 meV/atom.

3.
The following is a PBE calculation of a relaxed structure of CaBr, from Alexandria via LeMat-Bulk.

```
CaBr
1.0
8.288 0.000 0.000
0.000 8.288 0.000
0.000 0.000 8.288
Ca Br
6 6
Direct
0.000 0.250 0.500
0.000 0.750 0.500
0.250 0.500 0.000
0.500 0.000 0.250
0.500 0.000 0.750
0.750 0.500 0.000
0.000 0.500 0.250
0.000 0.500 0.750
0.250 0.000 0.500
0.500 0.250 0.000
0.500 0.750 0.000
0.750 0.000 0.500
```

The uncorrected energy is -33.982 eV per cell. The density of states at the Fermi level is 12.308 states/eV/cell. The volume comes out at 47.44 A^3/atom. The formation energy without anion corrections comes out at -994.6 meV/atom.

4.
The following is a PBE calculation of a relaxed structure of Sm2Be4Si3Pt, from Alexandria via LeMat-Bulk.

```
Sm2Be4Si3Pt
1.0
3.895 0.000 0.000
0.000 3.895 0.000
0.000 0.000 9.889
Sm Be Si Pt
2 4 3 1
Direct
0.000 0.500 0.244
0.500 0.000 0.756
0.000 0.000 0.000
0.000 0.500 0.634
0.500 0.000 0.366
0.500 0.500 0.000
0.000 0.500 0.869
0.500 0.000 0.131
0.500 0.500 0.500
0.000 0.000 0.500
```

The uncorrected energy is -52.472 eV per cell. The density of states at the Fermi level is 2.763 states/eV/cell. The volume comes out at 15.00 A^3/atom. The formation energy without anion corrections comes out at -581.9 meV/atom.

5.
The following is a PBE calculation of a relaxed structure of Y3GeF, from Alexandria via LeMat-Bulk.

```
Y3GeF
1.0
4.782 0.000 0.000
0.000 4.782 0.000
0.000 0.000 4.782
Y Ge F
3 1 1
Direct
0.000 0.000 0.500
0.000 0.500 0.000
0.500 0.000 0.000
0.500 0.500 0.500
0.000 0.000 0.000
```

The uncorrected energy is -30.887 eV per cell. The density of states at the Fermi level is 5.104 states/eV/cell. For the energy relative to the lowest polymorph listed for this composition, the calculation gives 0 meV/atom. The volume comes out at 21.87 A^3/atom. The formation energy without anion corrections comes out at -1001.2 meV/atom.

6.
The following is a PBE calculation of a relaxed structure of Ca3Th2ScSb6, from Alexandria via LeMat-Bulk.

```
Ca3Th2ScSb6
1.0
3.864 -6.705 0.000
3.864 6.705 0.000
-2.598 0.000 7.366
Ca Th Sc Sb
3 2 1 6
Direct
0.000 0.000 0.000
0.328 0.672 0.000
0.672 0.328 0.000
0.166 0.834 0.500
0.834 0.166 0.500
0.500 0.500 0.500
0.101 0.422 0.263
0.262 0.262 0.742
0.422 0.101 0.263
0.578 0.899 0.737
0.738 0.738 0.258
0.899 0.578 0.737
```

The uncorrected energy is -63.011 eV per cell. The density of states at the Fermi level is 6.508 states/eV/cell. The volume comes out at 31.80 A^3/atom. The formation energy without anion corrections comes out at -925.1 meV/atom.

7.
The following is a PBE calculation of a relaxed structure of MoWSCl2, from Alexandria via LeMat-Bulk.

```
MoWSCl2
1.0
4.883 0.000 0.000
0.000 4.883 0.000
0.000 0.000 4.640
Mo W S Cl
1 1 1 2
Direct
0.000 0.000 0.000
0.500 0.500 0.500
0.500 0.500 0.000
0.000 0.500 0.500
0.500 0.000 0.500
```

The uncorrected energy is -27.760 eV per cell. The density of states at the Fermi level is 3.724 states/eV/cell. For the energy relative to the lowest polymorph listed for this composition, the calculation gives 0 meV/atom. The volume comes out at 22.13 A^3/atom. The formation energy without anion corrections comes out at 769.0 meV/atom.

8.
The following is a PBE calculation of a relaxed structure of Tb4Sm9In11, from Alexandria via LeMat-Bulk.

```
Tb4Sm9In11
1.0
8.996 -10.655 0.000
8.996 10.655 0.000
0.000 0.000 3.523
Tb Sm In
4 9 11
Direct
0.069 0.237 0.000
0.237 0.069 0.000
0.763 0.931 0.000
0.931 0.763 0.000
0.000 0.000 0.000
0.124 0.643 0.000
0.292 0.468 0.000
0.357 0.876 0.000
0.468 0.292 0.000
0.532 0.708 0.000
0.643 0.124 0.000
0.708 0.532 0.000
0.876 0.357 0.000
0.080 0.433 0.500
0.136 0.864 0.500
0.265 0.265 0.500
0.331 0.669 0.500
0.433 0.080 0.500
0.500 0.500 0.500
0.567 0.920 0.500
0.669 0.331 0.500
0.735 0.735 0.500
0.864 0.136 0.500
0.920 0.567 0.500
```

The uncorrected energy is -100.872 eV per cell. The density of states at the Fermi level is 19.161 states/eV/cell. The formation energy comes out at -0.4065 eV/atom. The volume comes out at 28.14 A^3/atom.

9.
The following is a PBE calculation of a relaxed structure of Hf2ScU, from Alexandria via LeMat-Bulk.

```
Hf2ScU
1.0
3.687 0.000 0.000
0.000 3.687 0.000
0.000 0.000 6.737
Hf Sc U
2 1 1
Direct
0.000 0.000 0.222
0.000 0.000 0.778
0.500 0.500 0.500
0.500 0.500 0.000
```

The uncorrected energy is -36.354 eV per cell. The density of states at the Fermi level is 8.054 states/eV/cell. The formation energy comes out at 0.2931 eV/atom. For the energy relative to the lowest polymorph listed for this composition, the calculation gives 0 meV/atom. The volume comes out at 22.89 A^3/atom.

10.
The following is a PBE calculation of a relaxed structure of CsCr2SnCl8, from Alexandria via LeMat-Bulk.

```
CsCr2SnCl8
1.0
3.416 1.972 9.519
-3.416 1.972 9.519
0.000 -3.944 9.519
Cs Cr Sn Cl
1 2 1 8
Direct
0.000 0.000 0.000
0.243 0.243 0.243
0.757 0.757 0.757
0.500 0.500 0.500
0.102 0.781 0.444
0.219 0.556 0.898
0.320 0.320 0.320
0.444 0.102 0.781
0.556 0.898 0.219
0.680 0.680 0.680
0.781 0.444 0.102
0.898 0.219 0.556
```

The uncorrected energy is -51.869 eV per cell. The density of states at the Fermi level is 10.772 states/eV/cell. The volume comes out at 32.06 A^3/atom. The formation energy without anion corrections comes out at -1082.7 meV/atom.

11.
The following is a PBE calculation of a relaxed structure of CaGa6Ni4, from Alexandria via LeMat-Bulk.

```
CaGa6Ni4
1.0
6.985 0.000 0.000
-3.492 6.049 0.000
0.000 0.000 3.965
Ca Ga Ni
1 6 4
Direct
0.000 0.000 0.000
0.197 0.394 0.500
0.197 0.803 0.500
0.534 0.069 0.000
0.534 0.466 0.000
0.606 0.803 0.500
0.931 0.466 0.000
0.333 0.667 0.000
0.422 0.211 0.500
0.789 0.211 0.500
0.789 0.578 0.500
```

The uncorrected energy is -47.781 eV per cell. The density of states at the Fermi level is 3.569 states/eV/cell. The formation energy comes out at -0.4085 eV/atom. The volume comes out at 15.23 A^3/atom.